# 1
Rb5InCl8 | PBE-GGA | relaxed

Summary:
E_form (uncorrected) in eV per atom: -1.6490

Cell lengths 11.274, 11.274, 9.900 Å; angles 90.00, 90.00, 90.00 degrees
Space group I-4 (No. 82)
Symmetry-distinct sites (fractional):
Rb 0.000 0.000 0.000 (multiplicity 2)
Rb 0.213 0.716 0.126 (multiplicity 8)
In 0.000 0.500 0.750 (multiplicity 2)
Cl 0.023 0.311 0.638 (multiplicity 8)
Cl 0.072 0.252 0.101 (multiplicity 8)

---

# 2
RbInCl2 | PBE-GGA | relaxed

Summary:
E_form (uncorrected) in eV per atom: -1.3650
Offset from the most stable computed form in eV per atom: 0.014

Cell lengths 15.325, 4.669, 8.089 Å; angles 90.00, 100.08, 90.00 degrees
Space group C2/c (No. 15)
Symmetry-distinct sites (fractional):
Rb 0.000 0.249 0.250 (multiplicity 4)
In 0.250 0.250 0.000 (multiplicity 4)
Cl 0.129 0.251 0.626 (multiplicity 8)

---

# 3
Rb4InCl5 | PBE-GGA | relaxed

Summary:
E_form (uncorrected) in eV per atom: -1.7185

Cell lengths 10.504, 10.504, 6.689 Å; angles 90.00, 90.00, 90.00 degrees
Space group I4 (No. 79)
Symmetry-distinct sites (fractional):
Rb 0.100 0.299 0.000 (multiplicity 8)
In 0.000 0.000 0.499 (multiplicity 2)
Cl 0.000 0.000 0.068 (multiplicity 2)
Cl 0.098 0.297 0.499 (multiplicity 8)

---

# 4
RbIn2Cl3 | PBE-GGA | relaxed

Summary:
E_form (uncorrected) in eV per atom: -1.1734
Offset from the most stable computed form in eV per atom: 0.005

Cell lengths 4.237, 11.217, 8.433 Å; angles 90.00, 90.00, 90.00 degrees
Space group Pmc2_1 (No. 26)
Symmetry-distinct sites (fractional):
Rb 0.000 0.111 0.000 (multiplicity 2)
In 0.000 0.270 0.534 (multiplicity 2)
In 0.500 0.482 0.077 (multiplicity 2)
Cl 0.000 0.392 0.873 (multiplicity 2)
Cl 0.500 0.098 0.670 (multiplicity 2)
Cl 0.500 0.266 0.229 (multiplicity 2)